# 1
DFT (PBE) results for an optimized crystal structure of Ba2SnBi.

The structure belongs to space group P2_1/m (No. 11); the cell edges are 7.030, 4.734 and 10.360 Å and the angles 90.00°, 106.33° and 90.00°. The asymmetric unit holds Ba at (0.201, 0.250, 0.431), Ba at (0.294, 0.750, 0.067), Sn at (0.127, 0.250, 0.791) and Bi at (0.368, 0.750, 0.710).

Its distance to the lowest polymorph of the same formula is 0.000 eV/atom. Its density of states at the Fermi level is 0.875 states/eV per atom.

# 2
DFT (PBE) results for an optimized crystal structure of TmVCu4.

The structure belongs to space group F-43m (No. 216); the cell edges are 7.113, 7.113 and 7.113 Å and the angles 90.00°, 90.00° and 90.00°. The asymmetric unit holds Tm at (0.000, 0.000, 0.000), V at (0.250, 0.250, 0.250) and Cu at (0.124, 0.124, 0.624).

Its density of states at the Fermi level is 1.424 states/eV per atom. For the total energy, the calculation gives -5.00 eV per atom.

# 3
DFT (PBE) results for an optimized crystal structure of Ac2PrEu.

The structure belongs to space group Fm-3m (No. 225); the cell edges are 8.747, 8.747 and 8.747 Å and the angles 90.00°, 90.00° and 90.00°. The asymmetric unit holds Ac at (0.250, 0.250, 0.250), Pr at (0.000, 0.000, 0.000) and Eu at (0.000, 0.000, 0.500).

Its distance to the lowest polymorph of the same formula is 0.071 eV/atom. Its density of states at the Fermi level is 1.439 states/eV per atom.